Record 1
UMnTc2C | PBE | relaxed

a = 3.9589 Å, b = 4.1662 Å, c = 4.1662 Å
α = 90.00°, β = 90.00°, γ = 90.00°
With the nearest neighbours (Å) after each atom.
Fractional positions:
U 0.5000 0.5000 0.5000  8 Tc 2.87, 4 Mn 2.95
Mn 0.5000 0.0000 0.0000  2 C 1.98
Tc 0.0000 0.0000 0.5000  2 C 2.08
Tc 0.0000 0.5000 0.0000  2 C 2.08
C 0.0000 0.0000 0.0000  2 Mn 1.98, 4 Tc 2.08

Values from the calculation:
VASP energy: -51.13 eV per cell
energy of formation from the pure elements: -0.144 eV per atom


Record 2
Mn2TcWC | PBE | relaxed

a = 3.8201 Å, b = 3.8201 Å, c = 4.0998 Å
α = 90.00°, β = 90.00°, γ = 90.00°
With the nearest neighbours (Å) after each atom.
Fractional positions:
C 0.0000 0.0000 0.0000  4 Mn 1.91, 2 W 2.05
Mn 0.0000 0.5000 0.0000  2 C 1.91
Mn 0.5000 0.0000 0.0000  2 C 1.91
Tc 0.5000 0.5000 0.5000  4 W 2.70, 8 Mn 2.80
W 0.0000 0.0000 0.5000  2 C 2.05

Values from the calculation:
VASP energy: -50.36 eV per cell
energy of formation from the pure elements: 0.105 eV per atom


Record 3
Mn2TcWC | PBE | relaxed

a = 3.8303 Å, b = 3.8303 Å, c = 4.0161 Å
α = 90.00°, β = 90.00°, γ = 90.00°
With the nearest neighbours (Å) after each atom.
Fractional positions:
C 0.0000 0.0000 0.0000  4 Mn 1.92, 2 Tc 2.01
Mn 0.0000 0.5000 0.0000  2 C 1.92
Mn 0.5000 0.0000 0.0000  2 C 1.92
Tc 0.0000 0.0000 0.5000  2 C 2.01
W 0.5000 0.5000 0.5000  4 Tc 2.71, 8 Mn 2.77

Values from the calculation:
VASP energy: -50.59 eV per cell
energy of formation from the pure elements: 0.059 eV per atom


Record 4
Y2MnTcC | PBE | relaxed

a = 4.9644 Å, b = 4.9644 Å, c = 3.9684 Å
α = 90.00°, β = 90.00°, γ = 90.00°
With the nearest neighbours (Å) after each atom.
Fractional positions:
Y 0.0000 0.5000 0.0000  2 C 2.48
Y 0.5000 0.0000 0.0000  2 C 2.48
C 0.0000 0.0000 0.0000  2 Tc 1.98
Mn 0.5000 0.5000 0.5000  8 Y 3.18, 4 Tc 3.51
Tc 0.0000 0.0000 0.5000  2 C 1.98

Values from the calculation:
VASP energy: -41.86 eV per cell
energy of formation from the pure elements: -0.035 eV per atom


Record 5
MnTe2C | PBE | relaxed

a = 5.5474 Å, b = 5.5474 Å, c = 6.5745 Å
α = 65.05°, β = 65.05°, γ = 90.00°
With the nearest neighbours (Å) after each atom.
Fractional positions:
C 0.5000 0.5000 0.0000  4 Te 2.29
C 0.2500 0.7500 0.5000  4 Te 2.29
Te 0.6027 0.1250 0.2500  2 C 2.29, 2 Mn 2.44
Te 0.1473 0.6250 0.2500  2 C 2.29, 2 Mn 2.44
Te 0.3750 0.3973 0.7500  2 C 2.29, 2 Mn 2.44
Te 0.8750 0.8527 0.7500  2 C 2.29, 2 Mn 2.44
Mn 0.0000 0.0000 0.0000  4 Te 2.44
Mn 0.7500 0.2500 0.5000  4 Te 2.44

Values from the calculation:
VASP energy: -40.59 eV per cell
E_form (uncorrected): 1095 meV/atom


Record 6
MnTe2C | PBE | relaxed

a = 7.2211 Å, b = 7.2211 Å, c = 7.2211 Å
α = 34.32°, β = 34.32°, γ = 34.32°
With the nearest neighbours (Å) after each atom.
Fractional positions:
C 0.0000 0.0000 0.0000  2 Te 1.97
Te 0.9031 0.9031 0.9031  1 C 1.97
Te 0.0969 0.0969 0.0969  1 C 1.97
Mn 0.5000 0.5000 0.5000  6 Te 2.84

Values from the calculation:
VASP energy: -20.29 eV per cell
E_form (uncorrected): 1096 meV/atom


Record 7
MnTe3C | PBE | relaxed

a = 5.1550 Å, b = 5.1550 Å, c = 5.1550 Å
α = 90.00°, β = 90.00°, γ = 90.00°
With the nearest neighbours (Å) after each atom.
Fractional positions:
C 0.5000 0.5000 0.5000  12 Te 3.65
Te 0.0000 0.5000 0.0000  2 Mn 2.58
Te 0.0000 0.0000 0.5000  2 Mn 2.58
Te 0.5000 0.0000 0.0000  2 Mn 2.58
Mn 0.0000 0.0000 0.0000  6 Te 2.58

Values from the calculation:
VASP energy: -19.83 eV per cell
E_form (uncorrected): 1597 meV/atom


Record 8
MnTe2C2 | PBE | relaxed

a = 5.2461 Å, b = 5.2461 Å, c = 4.6474 Å
α = 55.64°, β = 55.64°, γ = 90.00°
With the nearest neighbours (Å) after each atom.
Fractional positions:
C 0.3830 0.3830 0.2341  1 C 1.31
C 0.6170 0.6170 0.7659  1 C 1.31
Te 0.7500 0.2500 0.5000  4 C 2.73, 2 Te 2.80, 4 Mn 2.97
Te 0.2500 0.7500 0.5000  4 C 2.73, 2 Te 2.80, 4 Mn 2.97
Mn 0.0000 0.0000 0.0000  2 C 2.14

Values from the calculation:
VASP energy: -27.61 eV per cell
E_form (uncorrected): 1258 meV/atom


Record 9
Mn3TeC | PBE | relaxed

a = 4.0698 Å, b = 4.0698 Å, c = 4.0698 Å
α = 90.00°, β = 90.00°, γ = 90.00°
With the nearest neighbours (Å) after each atom.
Fractional positions:
C 0.0000 0.0000 0.0000  6 Mn 2.03
Te 0.5000 0.5000 0.5000  12 Mn 2.88
Mn 0.0000 0.5000 0.0000  2 C 2.03
Mn 0.0000 0.0000 0.5000  2 C 2.03
Mn 0.5000 0.0000 0.0000  2 C 2.03

Values from the calculation:
VASP energy: -38.78 eV per cell
E_form (uncorrected): 220 meV/atom


Record 10
Mn3TeC | PBE | relaxed

a = 4.9329 Å, b = 4.9329 Å, c = 4.9329 Å
α = 90.00°, β = 90.00°, γ = 90.00°
With the nearest neighbours (Å) after each atom.
Fractional positions:
C 0.5000 0.5000 0.5000  12 Mn 3.49
Te 0.0000 0.0000 0.0000  6 Mn 2.47
Mn 0.0000 0.5000 0.0000  2 Te 2.47
Mn 0.0000 0.0000 0.5000  2 Te 2.47
Mn 0.5000 0.0000 0.0000  2 Te 2.47

Values from the calculation:
VASP energy: -28.81 eV per cell
E_form (uncorrected): 2212 meV/atom


Record 11
MnTe3C | PBE | relaxed

a = 4.6667 Å, b = 4.6667 Å, c = 4.6667 Å
α = 90.00°, β = 90.00°, γ = 90.00°
With the nearest neighbours (Å) after each atom.
Fractional positions:
C 0.0000 0.0000 0.0000  6 Te 2.33
Te 0.0000 0.5000 0.0000  2 C 2.33
Te 0.0000 0.0000 0.5000  2 C 2.33
Te 0.5000 0.0000 0.0000  2 C 2.33
Mn 0.5000 0.5000 0.5000  12 Te 3.30

Values from the calculation:
VASP energy: -20.42 eV per cell
E_form (uncorrected): 1480 meV/atom


Record 12
MnTe2C2 | PBE | relaxed

a = 6.9104 Å, b = 6.9104 Å, c = 3.4251 Å
α = 90.00°, β = 90.00°, γ = 90.00°
With the nearest neighbours (Å) after each atom.
Fractional positions:
C 0.3043 0.8043 0.0000  2 Te 2.17
C 0.8043 0.6957 0.0000  2 Te 2.17
C 0.6957 0.1957 0.0000  2 Te 2.17
C 0.1957 0.3043 0.0000  2 Te 2.17
Te 0.1675 0.6675 0.5000  2 C 2.17
Te 0.6675 0.8325 0.5000  2 C 2.17
Te 0.8325 0.3325 0.5000  2 C 2.17
Te 0.3325 0.1675 0.5000  2 C 2.17
Mn 0.0000 0.0000 0.0000  4 C 2.50
Mn 0.5000 0.5000 0.0000  4 C 2.50

Values from the calculation:
VASP energy: -53.16 eV per cell
E_form (uncorrected): 1465 meV/atom